Entry 1:
VASP calculation (PBE) on a geometry-optimized PrTh2OsN4 structure.

The space group is Cmcm (No. 63) and the conventional cell measures 3.486, 12.246 and 12.038 Å, with angles of 90.00, 90.00 and 90.00 degrees. Symmetry generates all atoms from Pr at (0.000, 0.110, 0.250), Th at (0.000, 0.369, 0.052), Os at (0.000, 0.151, 0.750), N at (0.000, 0.000, 0.000), N at (0.000, 0.274, 0.626) and N at (0.000, 0.452, 0.250).

Entry 2:
VASP calculation (PBE) on a geometry-optimized PrY2OsN4 structure.

The space group is Cmcm (No. 63) and the conventional cell measures 3.456, 11.768 and 11.727 Å, with angles of 90.00, 90.00 and 90.00 degrees. Symmetry generates all atoms from Pr at (0.000, 0.118, 0.250), Y at (0.000, 0.369, 0.041), Os at (0.000, 0.145, 0.750), N at (0.000, 0.000, 0.000), N at (0.000, 0.266, 0.627) and N at (0.000, 0.438, 0.250).

Entry 3:
VASP calculation (PBE) on a geometry-optimized Os2Pt2N structure.

The space group is I4/mmm (No. 139) and the conventional cell measures 3.587, 3.587 and 12.506 Å, with angles of 90.00, 90.00 and 90.00 degrees. Symmetry generates all atoms from Os at (0.000, 0.000, 0.094), Pt at (0.000, 0.500, 0.250) and N at (0.000, 0.000, 0.500).

The energy relative to the lowest polymorph listed for this composition comes out at 1.057 eV/atom.

Entry 4:
VASP calculation (PBE) on a geometry-optimized Os3PtN structure.

The space group is Pm-3m (No. 221) and the conventional cell measures 4.055, 4.055 and 4.055 Å, with angles of 90.00, 90.00 and 90.00 degrees. Symmetry generates all atoms from Os at (0.000, 0.000, 0.500), Pt at (0.500, 0.500, 0.500) and N at (0.000, 0.000, 0.000).

The energy relative to the lowest polymorph listed for this composition comes out at 0.000 eV/atom.

Entry 5:
VASP calculation (PBE) on a geometry-optimized Os3PtN structure.

The space group is Pm-3m (No. 221) and the conventional cell measures 4.809, 4.809 and 4.809 Å, with angles of 90.00, 90.00 and 90.00 degrees. Symmetry generates all atoms from Os at (0.000, 0.000, 0.500), Pt at (0.000, 0.000, 0.000) and N at (0.500, 0.500, 0.500).

The energy relative to the lowest polymorph listed for this composition comes out at 3.192 eV/atom.

Entry 6:
VASP calculation (PBE) on a geometry-optimized OsPt3N structure.

The space group is Pm-3m (No. 221) and the conventional cell measures 4.798, 4.798 and 4.798 Å, with angles of 90.00, 90.00 and 90.00 degrees. Symmetry generates all atoms from Os at (0.000, 0.000, 0.000), Pt at (0.000, 0.000, 0.500) and N at (0.500, 0.500, 0.500).

The energy relative to the lowest polymorph listed for this composition comes out at 1.572 eV/atom.

Entry 7:
VASP calculation (PBE) on a geometry-optimized OsPtN3 structure.

The space group is Pm-3m (No. 221) and the conventional cell measures 3.867, 3.867 and 3.867 Å, with angles of 90.00, 90.00 and 90.00 degrees. Symmetry generates all atoms from Os at (0.000, 0.000, 0.000), Pt at (0.500, 0.500, 0.500) and N at (0.000, 0.000, 0.500).

Entry 8:
VASP calculation (PBE) on a geometry-optimized OsPtN3 structure.

The space group is Pm-3m (No. 221) and the conventional cell measures 3.862, 3.862 and 3.862 Å, with angles of 90.00, 90.00 and 90.00 degrees. Symmetry generates all atoms from Os at (0.000, 0.000, 0.000), Pt at (0.500, 0.500, 0.500) and N at (0.000, 0.500, 0.500).

Entry 9:
VASP calculation (PBE) on a geometry-optimized Os2Pt2N structure.

The space group is P4/mbm (No. 127) and the conventional cell measures 5.394, 5.394 and 4.880 Å, with angles of 90.00, 90.00 and 90.00 degrees. Symmetry generates all atoms from Os at (0.174, 0.326, 0.000), Pt at (0.179, 0.679, 0.500) and N at (0.000, 0.000, 0.000).

The energy relative to the lowest polymorph listed for this composition comes out at 0.000 eV/atom.

Entry 10:
VASP calculation (PBE) on a geometry-optimized OsPt3N structure.

The space group is Pm-3m (No. 221) and the conventional cell measures 4.158, 4.158 and 4.158 Å, with angles of 90.00, 90.00 and 90.00 degrees. Symmetry generates all atoms from Os at (0.000, 0.000, 0.000), Pt at (0.000, 0.500, 0.500) and N at (0.500, 0.500, 0.500).

The energy relative to the lowest polymorph listed for this composition comes out at 0.000 eV/atom.

Entry 11:
VASP calculation (PBE) on a geometry-optimized Os2PtSN structure.

The space group is P4/mmm (No. 123) and the conventional cell measures 5.017, 5.017 and 4.552 Å, with angles of 90.00, 90.00 and 90.00 degrees. Symmetry generates all atoms from Os at (0.000, 0.500, 0.000), Pt at (0.000, 0.000, 0.000), S at (0.000, 0.000, 0.500) and N at (0.500, 0.500, 0.500).

Entry 12:
VASP calculation (PBE) on a geometry-optimized OsPtS2N structure.

The space group is P4/mmm (No. 123) and the conventional cell measures 4.837, 4.837 and 3.576 Å, with angles of 90.00, 90.00 and 90.00 degrees. Symmetry generates all atoms from Os at (0.000, 0.000, 0.000), Pt at (0.500, 0.500, 0.500), S at (0.000, 0.500, 0.500) and N at (0.500, 0.500, 0.000).

The energy relative to the lowest polymorph listed for this composition comes out at 0.736 eV/atom.

Entry 13:
VASP calculation (PBE) on a geometry-optimized OsPtS2N structure.

The space group is P4/mmm (No. 123) and the conventional cell measures 4.752, 4.752 and 3.636 Å, with angles of 90.00, 90.00 and 90.00 degrees. Symmetry generates all atoms from Os at (0.000, 0.000, 0.000), Pt at (0.500, 0.500, 0.500), S at (0.000, 0.500, 0.000) and N at (0.000, 0.000, 0.500).

The energy relative to the lowest polymorph listed for this composition comes out at 0.000 eV/atom.

Entry 14:
VASP calculation (PBE) on a geometry-optimized OsPtSeN2 structure.

The space group is P4/mmm (No. 123) and the conventional cell measures 3.733, 3.733 and 5.744 Å, with angles of 90.00, 90.00 and 90.00 degrees. Symmetry generates all atoms from Os at (0.000, 0.000, 0.000), Pt at (0.500, 0.500, 0.500), Se at (0.000, 0.000, 0.500) and N at (0.000, 0.500, 0.000).

The energy relative to the lowest polymorph listed for this composition comes out at 0.000 eV/atom.

Entry 15:
VASP calculation (PBE) on a geometry-optimized OsPtSeN2 structure.

The space group is P4/mmm (No. 123) and the conventional cell measures 3.684, 3.684 and 8.137 Å, with angles of 90.00, 90.00 and 90.00 degrees. Symmetry generates all atoms from Os at (0.000, 0.000, 0.000), Pt at (0.500, 0.500, 0.500), Se at (0.500, 0.500, 0.000) and N at (0.000, 0.500, 0.500).

The energy relative to the lowest polymorph listed for this composition comes out at 0.957 eV/atom.

Entry 16:
VASP calculation (PBE) on a geometry-optimized SrOsPtN2 structure.

The space group is P4/mmm (No. 123) and the conventional cell measures 4.161, 4.161 and 6.396 Å, with angles of 90.00, 90.00 and 90.00 degrees. Symmetry generates all atoms from Sr at (0.000, 0.000, 0.000), Os at (0.000, 0.000, 0.500), Pt at (0.500, 0.500, 0.500) and N at (0.000, 0.500, 0.000).

Entry 17:
VASP calculation (PBE) on a geometry-optimized Ta2OsPtN structure.

The space group is P4/mmm (No. 123) and the conventional cell measures 4.198, 4.198 and 4.068 Å, with angles of 90.00, 90.00 and 90.00 degrees. Symmetry generates all atoms from Ta at (0.000, 0.500, 0.000), Os at (0.000, 0.000, 0.500), Pt at (0.500, 0.500, 0.500) and N at (0.000, 0.000, 0.000).

Entry 18:
VASP calculation (PBE) on a geometry-optimized TiOs2PtN structure.

The space group is P4/mmm (No. 123) and the conventional cell measures 5.009, 5.009 and 3.536 Å, with angles of 90.00, 90.00 and 90.00 degrees. Symmetry generates all atoms from Ti at (0.000, 0.000, 0.000), Os at (0.000, 0.500, 0.500), Pt at (0.500, 0.500, 0.500) and N at (0.500, 0.500, 0.000).

Entry 19:
VASP calculation (PBE) on a geometry-optimized Pu3OsN6 structure.

The space group is Cmc2_1 (No. 36) and the conventional cell measures 9.046, 11.419 and 5.440 Å, with angles of 90.00, 90.00 and 90.00 degrees. Symmetry generates all atoms from Pu at (0.000, 0.102, 0.000), Pu at (0.198, 0.396, 0.026), Os at (0.000, 0.303, 0.578), N at (0.000, 0.291, 0.239), N at (0.000, 0.453, 0.721), N at (0.158, 0.013, 0.265) and N at (0.158, 0.236, 0.749).

Entry 20:
VASP calculation (PBE) on a geometry-optimized Pu2OsN structure.

The space group is R-3m (No. 166, hexagonal axes) and the conventional cell measures 3.4339, 3.4339 and 21.0144 Å, with angles of 90.00, 90.00 and 120.00 degrees. Symmetry generates all atoms from Pu at (0.0000, 0.0000, 0.2351), Os at (0.0000, 0.0000, 0.0000) and N at (0.0000, 0.0000, 0.5000).

Entry 21:
VASP calculation (PBE) on a geometry-optimized PuSiOsN structure.

The space group is P4/nmm (No. 129, origin choice 2) and the conventional cell measures 3.942, 3.942 and 8.132 Å, with angles of 90.00, 90.00 and 90.00 degrees. Symmetry generates all atoms from Pu at (0.250, 0.250, 0.157), Si at (0.250, 0.250, 0.664), Os at (0.250, 0.750, 0.500) and N at (0.250, 0.250, 0.880).

Entry 22:
VASP calculation (PBE) on a geometry-optimized Sm2PuOsN4 structure.

The space group is Cmcm (No. 63) and the conventional cell measures 3.366, 11.796 and 11.906 Å, with angles of 90.00, 90.00 and 90.00 degrees. Symmetry generates all atoms from Sm at (0.000, 0.131, 0.045), Pu at (0.000, 0.386, 0.250), Os at (0.000, 0.353, 0.750), N at (0.000, 0.041, 0.250), N at (0.000, 0.222, 0.639) and N at (0.000, 0.500, 0.000).

Entry 23:
VASP calculation (PBE) on a geometry-optimized SrPu2OsN4 structure.

The space group is Cmcm (No. 63) and the conventional cell measures 3.508, 11.815 and 12.089 Å, with angles of 90.00, 90.00 and 90.00 degrees. Symmetry generates all atoms from Sr at (0.000, 0.076, 0.250), Pu at (0.000, 0.369, 0.049), Os at (0.000, 0.186, 0.750), N at (0.000, 0.000, 0.000), N at (0.000, 0.251, 0.599) and N at (0.000, 0.402, 0.250).

Entry 24:
VASP calculation (PBE) on a geometry-optimized Sr2PuOsN5 structure.

The space group is Cmc2_1 (No. 36) and the conventional cell measures 3.476, 13.903 and 11.182 Å, with angles of 90.00, 90.00 and 90.00 degrees. Symmetry generates all atoms from Sr at (0.000, 0.108, 0.000), Sr at (0.000, 0.146, 0.612), Pu at (0.000, 0.208, 0.324), Os at (0.000, 0.490, 0.768), N at (0.000, 0.038, 0.339), N at (0.000, 0.285, 0.944), N at (0.000, 0.316, 0.709), N at (0.000, 0.372, 0.310) and N at (0.000, 0.494, 0.108).

Number 1: ΔE_f (raw) -0.983 eV per atom, calculated density 11.00 g cm⁻³, energy -9.002 eV per atom. Number 2: ΔE_f (raw) -0.932 eV per atom, calculated density 7.87 g cm⁻³, energy -8.711 eV per atom. Number 3: ΔE_f (raw) 1.626 eV per atom, calculated density 16.20 g cm⁻³, energy -6.947 eV per atom. Number 4: ΔE_f (raw) 0.658 eV per atom, calculated density 19.42 g cm⁻³, energy -8.953 eV per atom. Number 5: ΔE_f (raw) 3.850 eV per atom, calculated density 11.64 g cm⁻³, energy -5.761 eV per atom. Number 6: ΔE_f (raw) 2.590 eV per atom, calculated density 11.87 g cm⁻³, energy -4.946 eV per atom. Number 7: ΔE_f (raw) 1.523 eV per atom, calculated density 12.28 g cm⁻³, energy -6.927 eV per atom. Number 8: ΔE_f (raw) 2.501 eV per atom, calculated density 12.32 g cm⁻³, energy -5.948 eV per atom. Number 9: ΔE_f (raw) 0.569 eV per atom, calculated density 18.35 g cm⁻³, energy -8.004 eV per atom. Number 10: ΔE_f (raw) 1.018 eV per atom, calculated density 18.24 g cm⁻³, energy -6.517 eV per atom. Number 11: ΔE_f (raw) 3.105 eV per atom, calculated density 9.01 g cm⁻³, energy -5.085 eV per atom. Number 12: ΔE_f (raw) 1.525 eV per atom, calculated density 9.20 g cm⁻³, energy -5.245 eV per atom. Number 13: ΔE_f (raw) 0.789 eV per atom, calculated density 9.37 g cm⁻³, energy -5.981 eV per atom. Number 14: ΔE_f (raw) 0.781 eV per atom, calculated density 10.21 g cm⁻³, energy -6.700 eV per atom. Number 15: ΔE_f (raw) 1.738 eV per atom, calculated density 7.40 g cm⁻³, energy -5.743 eV per atom. Number 16: ΔE_f (raw) 2.873 eV per atom, calculated density 7.51 g cm⁻³, energy -4.248 eV per atom. Number 17: ΔE_f (raw) -0.435 eV per atom, calculated density 17.63 g cm⁻³, energy -10.296 eV per atom. Number 18: ΔE_f (raw) 1.807 eV per atom, calculated density 11.93 g cm⁻³, energy -7.137 eV per atom. Number 19: ΔE_f (raw) -0.691 eV per atom, calculated density 11.89 g cm⁻³, energy -11.108 eV per atom. Number 20: ΔE_f (raw) -0.376 eV per atom, calculated density 16.07 g cm⁻³, energy -12.431 eV per atom. Number 21: ΔE_f (raw) -0.752 eV per atom, calculated density 12.52 g cm⁻³, energy -10.580 eV per atom. Number 22: ΔE_f (raw) -0.772 eV per atom, calculated density 11.11 g cm⁻³, energy -9.310 eV per atom. Number 23: ΔE_f (raw) -0.764 eV per atom, calculated density 10.90 g cm⁻³, energy -10.123 eV per atom. Number 24: ΔE_f (raw) -0.530 eV per atom, calculated density 8.35 g cm⁻³, energy -8.369 eV per atom.